A relaxed SrPrNd4 crystal, computed with PBE.

Cell: 6.939 6.939 6.939 Å, 60.00 60.00 60.00°
Element x y z (fractional)
Sr  0.000  0.000  0.000
Pr  0.750  0.750  0.750
Nd  0.378  0.378  0.378
Nd  0.378  0.378  0.867
Nd  0.378  0.867  0.378
Nd  0.867  0.378  0.378

Summary:
**Total magnetization**: 0.00 μB/cell
**Energy**: -4.0376 eV/atom
**DOS at the Fermi energy**: 8.60 states/eV per cell


A relaxed SrPr6Nd2 crystal, computed with PBE.

Cell: 9.126 9.126 9.126 Å, 140.83 132.89 62.88°
Element x y z (fractional)
Sr  0.000  0.000  0.000
Pr  0.048  0.286  0.762
Pr  0.280  0.500  0.780
Pr  0.475  0.714  0.762
Pr  0.525  0.286  0.238
Pr  0.720  0.500  0.220
Pr  0.952  0.714  0.238
Nd  0.396  0.896  0.500
Nd  0.604  0.104  0.500

Summary:
**Total magnetization**: 0.00 μB/cell
**Energy**: -4.1410 eV/atom
**DOS at the Fermi energy**: 11.58 states/eV per cell


A relaxed Sr3PrNd2Te6 crystal, computed with PBE.

Cell: 10.382 10.382 9.310 Å, 104.61 104.61 25.42°
Element x y z (fractional)
Sr  0.000  0.000  0.000
Sr  0.334  0.334  0.667
Sr  0.666  0.666  0.333
Pr  0.000  0.000  0.500
Nd  0.334  0.334  0.169
Nd  0.666  0.666  0.831
Te  0.165  0.165  0.588
Te  0.169  0.169  0.077
Te  0.498  0.498  0.253
Te  0.502  0.502  0.747
Te  0.831  0.831  0.923
Te  0.835  0.835  0.412

Summary:
**Total magnetization**: 0.00 μB/cell
**Energy**: -4.7426 eV/atom
**Raw formation energy**: -1558 meV per atom
**DOS at the Fermi energy**: 5.40 states/eV per cell


A relaxed SrPr3Nd2Te6 crystal, computed with PBE.

Cell: 10.177 10.177 9.142 Å, 103.27 103.27 25.76°
Element x y z (fractional)
Sr  0.000  0.000  0.000
Pr  0.000  0.000  0.500
Pr  0.335  0.335  0.178
Pr  0.665  0.665  0.822
Nd  0.329  0.329  0.657
Nd  0.671  0.671  0.343
Te  0.165  0.165  0.580
Te  0.169  0.169  0.084
Te  0.497  0.497  0.746
Te  0.503  0.503  0.254
Te  0.831  0.831  0.916
Te  0.835  0.835  0.420

Summary:
**Total magnetization**: 0.00 μB/cell
**Energy**: -5.1741 eV/atom
**Raw formation energy**: -1474 meV per atom
**DOS at the Fermi energy**: 6.00 states/eV per cell


A relaxed Sr3Pr2NdTe6 crystal, computed with PBE.

Cell: 10.395 10.395 9.321 Å, 104.61 104.61 25.42°
Element x y z (fractional)
Sr  0.000  0.000  0.000
Sr  0.333  0.333  0.666
Sr  0.667  0.667  0.334
Pr  0.333  0.333  0.165
Pr  0.667  0.667  0.835
Nd  0.000  0.000  0.500
Te  0.164  0.164  0.587
Te  0.168  0.168  0.080
Te  0.499  0.499  0.256
Te  0.501  0.501  0.744
Te  0.832  0.832  0.920
Te  0.836  0.836  0.413

Summary:
**Total magnetization**: 0.00 μB/cell
**Energy**: -4.7465 eV/atom
**Raw formation energy**: -1561 meV per atom
**DOS at the Fermi energy**: 5.41 states/eV per cell


A relaxed SrPr4Nd3Te8 crystal, computed with PBE.

Cell: 9.081 9.081 9.081 Å, 59.99 59.99 59.99°
Element x y z (fractional)
Sr  0.000  0.000  0.000
Pr  0.000  0.000  0.500
Pr  0.000  0.500  0.000
Pr  0.500  0.000  0.000
Pr  0.500  0.500  0.500
Nd  0.000  0.500  0.500
Nd  0.500  0.000  0.500
Nd  0.500  0.500  0.000
Te  0.251  0.251  0.251
Te  0.251  0.251  0.747
Te  0.251  0.747  0.251
Te  0.253  0.749  0.749
Te  0.747  0.251  0.251
Te  0.749  0.253  0.749
Te  0.749  0.749  0.253
Te  0.749  0.749  0.749

Summary:
**Total magnetization**: 0.00 μB/cell
**Energy**: -5.2201 eV/atom
**Raw formation energy**: -1455 meV per atom
**DOS at the Fermi energy**: 9.84 states/eV per cell


A relaxed SrPrNdTm crystal, computed with PBE.

Cell: 5.956 5.956 5.956 Å, 60.00 60.00 60.00°
Element x y z (fractional)
Sr  0.000  0.000  0.000
Pr  0.250  0.250  0.250
Nd  0.750  0.750  0.750
Tm  0.500  0.500  0.500

Summary:
**Total magnetization**: 0.00 μB/cell
**Energy**: -3.7222 eV/atom
**DOS at the Fermi energy**: 5.78 states/eV per cell


A relaxed Tb4PrNd3 crystal, computed with PBE.

Cell: 11.690 7.348 6.337 Å, 90.00 90.00 90.00°
Element x y z (fractional)
Tb  0.000  0.122  0.000
Tb  0.000  0.878  0.500
Tb  0.250  0.122  0.333
Tb  0.250  0.878  0.833
Tb  0.500  0.122  0.000
Tb  0.500  0.878  0.500
Tb  0.750  0.122  0.333
Tb  0.750  0.878  0.833
Pr  0.000  0.373  0.499
Pr  0.500  0.627  0.999
Nd  0.000  0.628  0.998
Nd  0.250  0.372  0.834
Nd  0.250  0.628  0.334
Nd  0.500  0.372  0.498
Nd  0.750  0.372  0.834
Nd  0.750  0.628  0.334

Summary:
**Total magnetization**: 0.00 μB/cell
**Energy**: -4.6710 eV/atom
**DOS at the Fermi energy**: 28.60 states/eV per cell
**Polymorph energy (0 for the lowest one)**: 0.0 meV per atom


A relaxed Tb7Pr3Nd crystal, computed with PBE.

Cell: 7.141 7.141 8.786 Å, 90.00 90.00 120.00°
Element x y z (fractional)
Tb  0.000  0.000  0.000
Tb  0.166  0.332  0.322
Tb  0.166  0.834  0.322
Tb  0.501  0.001  0.996
Tb  0.501  0.499  0.996
Tb  0.668  0.834  0.322
Tb  0.999  0.499  0.996
Pr  0.333  0.166  0.661
Pr  0.834  0.166  0.661
Pr  0.834  0.667  0.661
Nd  0.667  0.333  0.320

Summary:
**Total magnetization**: 0.00 μB/cell
**Energy**: -4.5106 eV/atom
**DOS at the Fermi energy**: 17.14 states/eV per cell
**Polymorph energy (0 for the lowest one)**: 0.0 meV per atom


A relaxed Tb2Pr4Nd crystal, computed with PBE.

Cell: 12.728 6.917 13.727 Å, 66.98 30.01 83.01°
Element x y z (fractional)
Tb  0.009  0.491  0.059
Tb  0.191  0.809  0.241
Tb  0.491  0.009  0.441
Tb  0.809  0.191  0.759
Pr  0.085  0.323  0.272
Pr  0.323  0.085  0.319
Pr  0.397  0.560  0.316
Pr  0.523  0.934  0.690
Pr  0.560  0.397  0.727
Pr  0.931  0.978  0.927
Pr  0.934  0.523  0.853
Pr  0.978  0.931  0.165
Nd  0.444  0.444  0.556
Nd  0.694  0.694  0.806

Summary:
**Total magnetization**: 0.00 μB/cell
**Energy**: -4.6736 eV/atom
**DOS at the Fermi energy**: 21.57 states/eV per cell
**Polymorph energy (0 for the lowest one)**: 0.0 meV per atom


A relaxed Tb5PrNd4 crystal, computed with PBE.

Cell: 8.108 8.108 8.108 Å, 98.26 98.26 135.45°
Element x y z (fractional)
Tb  0.000  0.000  0.000
Tb  0.069  0.069  0.621
Tb  0.069  0.447  0.000
Tb  0.447  0.069  0.000
Tb  0.447  0.447  0.379
Pr  0.531  0.531  0.000
Nd  0.125  0.798  0.327
Nd  0.471  0.798  0.673
Nd  0.798  0.125  0.327
Nd  0.798  0.471  0.673

Summary:
**Total magnetization**: 0.00 μB/cell
**Energy**: -4.4596 eV/atom
**DOS at the Fermi energy**: 13.70 states/eV per cell
**Polymorph energy (0 for the lowest one)**: 103.2 meV per atom


A relaxed Tb2Pr5Nd crystal, computed with PBE.

Cell: 9.900 9.900 6.641 Å, 98.04 98.04 61.94°
Element x y z (fractional)
Tb  0.166  0.676  0.867
Tb  0.324  0.834  0.633
Tb  0.676  0.166  0.367
Tb  0.834  0.324  0.133
Pr  0.000  0.189  0.645
Pr  0.000  0.811  0.355
Pr  0.189  0.000  0.145
Pr  0.210  0.385  0.480
Pr  0.385  0.210  0.980
Pr  0.443  0.557  0.250
Pr  0.557  0.443  0.750
Pr  0.615  0.790  0.020
Pr  0.790  0.615  0.520
Pr  0.811  0.000  0.855
Nd  0.000  0.500  0.000
Nd  0.500  0.000  0.500

Summary:
**Total magnetization**: 0.00 μB/cell
**Energy**: -4.5968 eV/atom
**DOS at the Fermi energy**: 26.34 states/eV per cell
**Polymorph energy (0 for the lowest one)**: 131.8 meV per atom


A relaxed Tb4Pr7Nd crystal, computed with PBE.

Cell: 8.717 8.717 9.550 Å, 114.77 114.77 40.90°
Element x y z (fractional)
Tb  0.071  0.071  0.197
Tb  0.170  0.170  0.884
Tb  0.830  0.830  0.116
Tb  0.929  0.929  0.803
Pr  0.000  0.000  0.500
Pr  0.287  0.287  0.617
Pr  0.288  0.288  0.264
Pr  0.414  0.414  0.051
Pr  0.586  0.586  0.949
Pr  0.712  0.712  0.736
Pr  0.713  0.713  0.383
Nd  0.500  0.500  0.500

Summary:
**Total magnetization**: 0.08 μB/cell
**Energy**: -4.5308 eV/atom
**DOS at the Fermi energy**: 20.33 states/eV per cell
**Polymorph energy (0 for the lowest one)**: 192.3 meV per atom


A relaxed Tb4Pr3Nd4 crystal, computed with PBE.

Cell: 10.875 6.744 6.744 Å, 51.05 90.00 90.00°
Element x y z (fractional)
Tb  0.000  0.000  0.000
Tb  0.197  0.493  0.493
Tb  0.500  0.943  0.943
Tb  0.803  0.493  0.493
Pr  0.208  0.798  0.798
Pr  0.500  0.642  0.642
Pr  0.792  0.798  0.798
Nd  0.000  0.272  0.272
Nd  0.288  0.140  0.140
Nd  0.500  0.347  0.347
Nd  0.712  0.140  0.140

Summary:
**Total magnetization**: 0.00 μB/cell
**Energy**: -4.5724 eV/atom
**DOS at the Fermi energy**: 18.22 states/eV per cell
**Polymorph energy (0 for the lowest one)**: 18.2 meV per atom


A relaxed Tb5Pr2Nd crystal, computed with PBE.

Cell: 7.224 14.452 5.115 Å, 90.00 90.00 90.00°
Element x y z (fractional)
Tb  0.000  0.000  0.000
Tb  0.001  0.249  0.000
Tb  0.249  0.626  0.500
Tb  0.251  0.126  0.500
Tb  0.499  0.749  0.000
Tb  0.500  0.500  0.000
Tb  0.501  0.251  0.000
Tb  0.749  0.874  0.500
Tb  0.751  0.374  0.500
Tb  0.999  0.751  0.000
Pr  0.248  0.874  0.500
Pr  0.252  0.374  0.500
Pr  0.748  0.626  0.500
Pr  0.752  0.126  0.500
Nd  0.000  0.500  0.000
Nd  0.500  0.000  0.000

Summary:
**Total magnetization**: 0.00 μB/cell
**Energy**: -4.6675 eV/atom
**DOS at the Fermi energy**: 22.98 states/eV per cell
**Polymorph energy (0 for the lowest one)**: 0.0 meV per atom


A relaxed Tb3Pr2Nd9 crystal, computed with PBE.

Cell: 9.210 9.210 13.885 Å, 90.00 90.00 120.00°
Element x y z (fractional)
Tb  0.078  0.248  0.250
Tb  0.171  0.922  0.250
Tb  0.248  0.171  0.750
Tb  0.752  0.829  0.250
Tb  0.829  0.078  0.750
Tb  0.922  0.752  0.750
Pr  0.333  0.667  0.139
Pr  0.333  0.667  0.361
Pr  0.667  0.333  0.639
Pr  0.667  0.333  0.861
Nd  0.082  0.481  0.750
Nd  0.129  0.724  0.541
Nd  0.129  0.724  0.959
Nd  0.276  0.405  0.541
Nd  0.276  0.405  0.959
Nd  0.399  0.918  0.750
Nd  0.405  0.129  0.041
Nd  0.405  0.129  0.459
Nd  0.481  0.399  0.250
Nd  0.519  0.601  0.750
Nd  0.595  0.871  0.541
Nd  0.595  0.871  0.959
Nd  0.601  0.082  0.250
Nd  0.724  0.595  0.041
Nd  0.724  0.595  0.459
Nd  0.871  0.276  0.041
Nd  0.871  0.276  0.459
Nd  0.918  0.519  0.250

Summary:
**Total magnetization**: 0.00 μB/cell
**Energy**: -4.4995 eV/atom
**DOS at the Fermi energy**: 36.32 states/eV per cell


A relaxed TbPr7Nd3 crystal, computed with PBE.

Cell: 8.696 8.696 6.044 Å, 110.27 110.27 82.92°
Element x y z (fractional)
Tb  0.000  0.000  0.000
Pr  0.000  0.000  0.500
Pr  0.097  0.509  0.803
Pr  0.291  0.291  0.291
Pr  0.491  0.903  0.197
Pr  0.509  0.097  0.803
Pr  0.709  0.709  0.709
Pr  0.903  0.491  0.197
Nd  0.292  0.708  0.500
Nd  0.500  0.500  0.000
Nd  0.708  0.292  0.500

Summary:
**Total magnetization**: 0.00 μB/cell
**Energy**: -4.5459 eV/atom
**DOS at the Fermi energy**: 16.27 states/eV per cell
**Polymorph energy (0 for the lowest one)**: 0.0 meV per atom


A relaxed Tb6PrNd5 crystal, computed with PBE.

Cell: 9.584 9.584 9.584 Å, 148.91 115.72 73.12°
Element x y z (fractional)
Tb  0.083  0.333  0.750
Tb  0.249  0.000  0.249
Tb  0.417  0.667  0.750
Tb  0.583  0.333  0.250
Tb  0.751  0.000  0.751
Tb  0.917  0.667  0.250
Pr  0.500  0.500  0.000
Nd  0.000  0.500  0.500
Nd  0.167  0.167  0.000
Nd  0.333  0.833  0.500
Nd  0.667  0.167  0.500
Nd  0.833  0.833  0.000

Summary:
**Total magnetization**: 0.00 μB/cell
**Energy**: -4.6860 eV/atom
**DOS at the Fermi energy**: 16.07 states/eV per cell
**Polymorph energy (0 for the lowest one)**: 3.4 meV per atom


A relaxed Tb5Pr2Nd12 crystal, computed with PBE.

Cell: 10.833 10.833 6.282 Å, 100.62 100.62 66.09°
Element x y z (fractional)
Tb  0.000  0.000  0.000
Tb  0.214  0.214  0.047
Tb  0.323  0.323  0.642
Tb  0.677  0.677  0.358
Tb  0.786  0.786  0.953
Pr  0.226  0.774  0.500
Pr  0.774  0.226  0.500
Nd  0.059  0.543  0.299
Nd  0.123  0.123  0.495
Nd  0.147  0.646  0.886
Nd  0.354  0.853  0.114
Nd  0.444  0.444  0.225
Nd  0.457  0.941  0.701
Nd  0.543  0.059  0.299
Nd  0.556  0.556  0.775
Nd  0.646  0.147  0.886
Nd  0.853  0.354  0.114
Nd  0.877  0.877  0.505
Nd  0.941  0.457  0.701

Summary:
**Total magnetization**: 0.00 μB/cell
**Energy**: -4.6384 eV/atom
**DOS at the Fermi energy**: 26.65 states/eV per cell
**Polymorph energy (0 for the lowest one)**: 0.0 meV per atom